(1)
Here is a crystal of CaTa2Cd relaxed with PBEsol from the Alexandria database. Energies are from meta-GGA SCAN.

The structure in POSCAR format:
```
CaTa2Cd
1.0
2.949 0.000 0.000
0.000 5.360 0.000
-0.522 0.000 5.195
Ca Ta Cd
1 2 1
direct
0.000 0.000 0.000 Ca
0.345 0.500 0.741 Ta
0.655 0.500 0.259 Ta
0.500 0.000 0.500 Cd
```

Properties
For the total energy, the calculation gives -42.7950 eV/atom. The total magnetic moment is 0.0 μB/cell. For the volume, the calculation gives 20.5 Å³ per atom. For the formation energy, the calculation gives 516 meV/atom.



(2)
Here is a crystal of Ag2IrAu relaxed with PBEsol from the Alexandria database. Energies are from meta-GGA SCAN.

The structure in POSCAR format:
```
Ag2IrAu
1.0
2.812 -4.149 0.000
2.812 4.149 0.000
0.000 0.000 2.721
Ag Ir Au
2 1 1
direct
0.000 0.500 0.000 Ag
0.500 0.000 0.000 Ag
0.000 0.000 0.500 Ir
0.500 0.500 0.500 Au
```

Properties
For the total energy, the calculation gives -50.4503 eV/atom. The total magnetic moment is 0.5 μB/cell. For the volume, the calculation gives 15.9 Å³ per atom. The value obtained for the polymorph energy (0 for the lowest one) is 0.31 eV per formula unit. For the formation energy, the calculation gives 297 meV/atom.



(3)
Here is a crystal of Pm2CuPd relaxed with PBEsol from the Alexandria database. Energies are from meta-GGA SCAN.

The structure in POSCAR format:
```
Pm2CuPd
1.0
0.000 3.522 3.522
3.522 0.000 3.522
3.522 3.522 0.000
Pm Cu Pd
2 1 1
direct
0.250 0.250 0.250 Pm
0.750 0.750 0.750 Pm
0.000 0.000 0.000 Cu
0.500 0.500 0.500 Pd
```

Properties
For the total energy, the calculation gives -34.5153 eV/atom. The total magnetic moment is 0.0 μB/cell. For the volume, the calculation gives 21.8 Å³ per atom. For the formation energy, the calculation gives -529 meV/atom.



(4)
Here is a crystal of Cs8Na4Y3HoCl24 relaxed with PBEsol from the Alexandria database. Energies are from meta-GGA SCAN.

The structure in POSCAR format:
```
Cs8Na4Y3HoCl24
1.0
7.526 0.000 0.000
0.000 7.526 0.000
0.000 0.000 21.288
Cs Na Y Ho Cl
8 4 3 1 24
direct
0.000 0.500 0.125 Cs
0.000 0.500 0.375 Cs
0.000 0.500 0.625 Cs
0.000 0.500 0.875 Cs
0.500 0.000 0.125 Cs
0.500 0.000 0.375 Cs
0.500 0.000 0.625 Cs
0.500 0.000 0.875 Cs
0.000 0.000 0.000 Na
0.000 0.000 0.500 Na
0.500 0.500 0.250 Na
0.500 0.500 0.750 Na
0.000 0.000 0.250 Y
0.000 0.000 0.750 Y
0.500 0.500 0.000 Y
0.500 0.500 0.500 Ho
0.000 0.000 0.128 Cl
0.000 0.000 0.372 Cl
0.000 0.000 0.628 Cl
0.000 0.000 0.872 Cl
0.244 0.244 0.250 Cl
0.244 0.244 0.750 Cl
0.244 0.756 0.250 Cl
0.244 0.756 0.750 Cl
0.256 0.256 0.000 Cl
0.256 0.744 0.000 Cl
0.257 0.257 0.500 Cl
0.257 0.743 0.500 Cl
0.500 0.500 0.122 Cl
0.500 0.500 0.378 Cl
0.500 0.500 0.622 Cl
0.500 0.500 0.878 Cl
0.743 0.257 0.500 Cl
0.743 0.743 0.500 Cl
0.744 0.256 0.000 Cl
0.744 0.744 0.000 Cl
0.756 0.244 0.250 Cl
0.756 0.244 0.750 Cl
0.756 0.756 0.250 Cl
0.756 0.756 0.750 Cl
```

Properties
For the total energy, the calculation gives -18.4948 eV/atom. The total magnetic moment is 0.0 μB/cell. For the volume, the calculation gives 30.1 Å³ per atom. As for the uncorrected formation energy: -2.4115 eV per atom.



(5)
Here is a crystal of MgFePCl2 relaxed with PBEsol from the Alexandria database. Energies are from meta-GGA SCAN.

The structure in POSCAR format:
```
MgFePCl2
1.0
4.472 0.000 0.000
0.000 4.472 0.000
0.000 0.000 4.852
Mg Fe P Cl
1 1 1 2
direct
0.000 0.000 0.000 Mg
0.500 0.500 0.500 Fe
0.500 0.500 0.000 P
0.000 0.500 0.500 Cl
0.500 0.000 0.500 Cl
```

Properties
For the total energy, the calculation gives -10.1227 eV/atom. The total magnetic moment is 3.4 μB/cell. For the volume, the calculation gives 19.4 Å³ per atom. As for the uncorrected formation energy: -0.2312 eV per atom.



(6)
Here is a crystal of CoReB3 relaxed with PBEsol from the Alexandria database. Energies are from meta-GGA SCAN.

The structure in POSCAR format:
```
CoReB3
1.0
3.633 0.000 0.000
0.000 3.633 0.000
0.000 0.000 3.633
Co Re B
1 1 3
direct
0.000 0.000 0.000 Co
0.500 0.500 0.500 Re
0.000 0.000 0.500 B
0.000 0.500 0.000 B
0.500 0.000 0.000 B
```

Properties
For the total energy, the calculation gives -20.8544 eV/atom. The total magnetic moment is 0.0 μB/cell. For the volume, the calculation gives 9.6 Å³ per atom. For the formation energy, the calculation gives 1284 meV/atom.



(7)
Here is a crystal of CaCd2W relaxed with PBEsol from the Alexandria database. Energies are from meta-GGA SCAN.

The structure in POSCAR format:
```
CaCd2W
1.0
2.896 0.000 0.000
0.000 2.896 0.000
0.000 0.000 9.436
Ca Cd W
1 2 1
direct
0.000 0.000 0.000 Ca
0.500 0.500 0.269 Cd
0.500 0.500 0.731 Cd
0.000 0.000 0.500 W
```

Properties
For the total energy, the calculation gives -34.6337 eV/atom. The total magnetic moment is 0.0 μB/cell. For the volume, the calculation gives 19.8 Å³ per atom. The value obtained for the polymorph energy (0 for the lowest one) is 0.00 eV per formula unit. For the formation energy, the calculation gives 411 meV/atom.



(8)
Here is a crystal of Tc2PW relaxed with PBEsol from the Alexandria database. Energies are from meta-GGA SCAN.

The structure in POSCAR format:
```
Tc2PW
1.0
1.396 0.806 8.246
-1.396 0.806 8.246
0.000 -1.612 8.246
Tc P W
2 1 1
direct
0.000 0.000 0.000 Tc
0.247 0.247 0.247 Tc
0.505 0.505 0.505 P
0.757 0.757 0.757 W
```

Properties
For the total energy, the calculation gives -37.4545 eV/atom. The total magnetic moment is 0.0 μB/cell. For the volume, the calculation gives 13.9 Å³ per atom. For the formation energy, the calculation gives 97 meV/atom.



(9)
Here is a crystal of RuAuSe2 relaxed with PBEsol from the Alexandria database. Energies are from meta-GGA SCAN.

The structure in POSCAR format:
```
RuAuSe2
1.0
3.626 0.000 0.000
0.000 1.626 6.641
0.000 -1.626 6.641
Ru Au Se
1 1 2
direct
0.000 0.000 0.000 Ru
0.500 0.602 0.602 Au
0.000 0.184 0.184 Se
0.500 0.886 0.886 Se
```

Properties
For the total energy, the calculation gives -35.8705 eV/atom. The total magnetic moment is 0.0 μB/cell. For the volume, the calculation gives 19.6 Å³ per atom. As for the uncorrected formation energy: 0.1646 eV per atom.



(10)
Here is a crystal of TaCrW2 relaxed with PBEsol from the Alexandria database. Energies are from meta-GGA SCAN.

The structure in POSCAR format:
```
TaCrW2
1.0
-1.555 2.204 4.398
1.555 -2.204 4.398
1.555 2.204 -4.398
Ta Cr W
1 1 2
direct
0.000 0.000 0.000 Ta
0.500 0.500 0.000 Cr
0.257 0.757 0.500 W
0.743 0.243 0.500 W
```

Properties
For the total energy, the calculation gives -56.1155 eV/atom. The total magnetic moment is 0.0 μB/cell. For the volume, the calculation gives 15.1 Å³ per atom. The value obtained for the polymorph energy (0 for the lowest one) is 0.04 eV per formula unit. For the formation energy, the calculation gives -30 meV/atom.



(11)
Here is a crystal of Zr2CdAu relaxed with PBEsol from the Alexandria database. Energies are from meta-GGA SCAN.

The structure in POSCAR format:
```
Zr2CdAu
1.0
2.993 0.000 0.000
0.000 4.962 0.000
0.000 0.000 5.261
Zr Cd Au
2 1 1
direct
0.000 0.000 0.000 Zr
0.000 0.500 0.368 Zr
0.500 0.000 0.508 Cd
0.500 0.500 0.850 Au
```

Properties
For the total energy, the calculation gives -40.6401 eV/atom. The total magnetic moment is 0.0 μB/cell. For the volume, the calculation gives 19.5 Å³ per atom. For the formation energy, the calculation gives -398 meV/atom.



(12)
Here is a crystal of Be2ReAu relaxed with PBEsol from the Alexandria database. Energies are from meta-GGA SCAN.

The structure in POSCAR format:
```
Be2ReAu
1.0
1.648 -2.060 0.000
1.648 2.060 0.000
0.000 0.000 7.231
Be Re Au
2 1 1
direct
0.000 0.000 0.243 Be
0.000 0.000 0.757 Be
0.500 0.500 0.000 Re
0.500 0.500 0.500 Au
```

Properties
For the total energy, the calculation gives -37.3055 eV/atom. The total magnetic moment is 0.0 μB/cell. For the volume, the calculation gives 12.3 Å³ per atom. The value obtained for the polymorph energy (0 for the lowest one) is 0.00 eV per formula unit. For the formation energy, the calculation gives -65 meV/atom.